# LiCa2PbN (GGA-PBE, relaxed)
# raw formation energy = -2.4 eV/f.u.
# DOS(E_F) = 3.89 states/eV per cell
data_LiCa2PbN
_cell_length_a 4.893
_cell_length_b 4.893
_cell_length_c 4.526
_cell_angle_alpha 90.00
_cell_angle_beta 90.00
_cell_angle_gamma 90.00
_space_group_name_H-M_alt 'P 4/m m m'
_space_group_IT_number 123
_space_group_name_Hall '-P 4 2'
loop_
_atom_site_label
_atom_site_type_symbol
_atom_site_fract_x
_atom_site_fract_y
_atom_site_fract_z
Li1 Li 0.000 0.000 0.000
Ca1 Ca 0.000 0.500 0.500
Pb1 Pb 0.500 0.500 0.000
N1 N 0.000 0.000 0.500

# RbNaMoCl6 (GGA-PBE, relaxed)
# raw formation energy = -12.0 eV/f.u.
# DOS(E_F) = 19.94 states/eV per cell
data_RbNaMoCl6
_cell_length_a 6.9851
_cell_length_b 6.9851
_cell_length_c 13.9641
_cell_angle_alpha 90.00
_cell_angle_beta 90.00
_cell_angle_gamma 120.00
_space_group_name_H-M_alt 'P -3 1 c'
_space_group_IT_number 163
_space_group_name_Hall '-P 3 2c'
loop_
_atom_site_label
_atom_site_type_symbol
_atom_site_fract_x
_atom_site_fract_y
_atom_site_fract_z
Rb1 Rb 0.0000 0.0000 0.0000
Na1 Na 0.3333 0.6667 0.2500
Mo1 Mo 0.3333 0.6667 0.7500
Cl1 Cl 0.0461 0.3935 0.6501